1.
## CsGa2CuH8 (PBE)

Data for an optimized crystal structure of CsGa2CuH8.

Cell: 8.6074 8.6074 8.6074 Å, 34.18 34.18 34.18°
Closest atoms and distances in Å follow each position.
Fractional positions:
Cs: 0.0000 0.0000 0.0000  6 H 3.05
Ga: 0.2298 0.2298 0.2298  4 H 1.62-1.63
Ga: 0.7702 0.7702 0.7702  4 H 1.62-1.63
Cu: 0.5000 0.5000 0.5000  6 H 1.81
H: 0.1332 0.6964 0.5391  1 Ga 1.63, 1 Cu 1.81
H: 0.2967 0.2967 0.2967  1 Ga 1.62
H: 0.3036 0.4609 0.8668  1 Ga 1.63, 1 Cu 1.81
H: 0.4609 0.8668 0.3036  1 Ga 1.63, 1 Cu 1.81
H: 0.5391 0.1332 0.6964  1 Ga 1.63, 1 Cu 1.81
H: 0.6964 0.5391 0.1332  1 Ga 1.63, 1 Cu 1.81
H: 0.7033 0.7033 0.7033  1 Ga 1.62
H: 0.8668 0.3036 0.4609  1 Ga 1.63, 1 Cu 1.81

Values from the calculation:
SG ... R-3
Total DFT energy (no corrections) ... -37.83 eV per cell

=====

2.
## Ce4IrSe2S (PBE)

Data for an optimized crystal structure of Ce4IrSe2S.

Cell: 7.1959 4.0641 7.2887 Å, 90.00 108.88 90.00°
Closest atoms and distances in Å follow each position.
Fractional positions:
Ce: 0.2378 0.0000 0.2293  2 Ir 2.83, 1 S 2.90, 3 Se 3.00-3.03
Ce: 0.2537 0.5000 0.7653  2 S 2.87, 1 Ir 2.88, 3 Se 2.99-3.02
Ce: 0.7463 0.5000 0.2347  2 S 2.87, 1 Ir 2.88, 3 Se 2.99-3.02
Ce: 0.7622 0.0000 0.7707  2 Ir 2.83, 1 S 2.90, 3 Se 3.00-3.03
Ir: 0.0000 0.5000 0.0000  6 Ce 2.83-2.88
Se: 0.0000 0.0000 0.5000  6 Ce 2.99-3.00
Se: 0.5000 0.5000 0.5000  6 Ce 3.02-3.03
S: 0.5000 0.0000 0.0000  6 Ce 2.87-2.90

Values from the calculation:
ΔE_f (raw) ... -1.57 eV per atom
SG ... P2/m

=====

3.
## Sr2Mg2Sn (PBE)

Data for an optimized crystal structure of Sr2Mg2Sn.

Cell: 7.8217 7.8217 5.3945 Å, 90.00 90.00 90.00°
Closest atoms and distances in Å follow each position.
Fractional positions:
Sr: 0.1810 0.3190 0.0000  6 Mg 3.41-3.65
Sr: 0.3190 0.8190 0.0000  6 Mg 3.41-3.65
Sr: 0.6810 0.1810 0.0000  6 Mg 3.41-3.65
Sr: 0.8190 0.6810 0.0000  6 Mg 3.41-3.65
Mg: 0.1300 0.6300 0.5000  1 Mg 2.88, 2 Sn 3.07
Mg: 0.3700 0.1300 0.5000  1 Mg 2.88, 2 Sn 3.07
Mg: 0.6300 0.8700 0.5000  1 Mg 2.88, 2 Sn 3.07
Mg: 0.8700 0.3700 0.5000  1 Mg 2.88, 2 Sn 3.07
Sn: 0.0000 0.0000 0.5000  4 Mg 3.07
Sn: 0.5000 0.5000 0.5000  4 Mg 3.07

Values from the calculation:
ΔE_f ... -212 meV per atom
SG ... P4/mbm